(1)
## Li2Pr2Cd15 (PBE-GGA)

Data for a relaxed structure of Li2Pr2Cd15.

a = 7.655 Å, b = 7.655 Å, c = 7.655 Å
α = 82.21°, β = 82.21°, γ = 82.21°
Fractional positions:
Li: 0.099 0.099 0.099
Li: 0.901 0.901 0.901
Pr: 0.336 0.336 0.336
Pr: 0.664 0.664 0.664
Cd: 0.000 0.000 0.500
Cd: 0.000 0.295 0.705
Cd: 0.000 0.500 0.000
Cd: 0.000 0.705 0.295
Cd: 0.156 0.642 0.642
Cd: 0.295 0.000 0.705
Cd: 0.295 0.705 0.000
Cd: 0.358 0.358 0.844
Cd: 0.358 0.844 0.358
Cd: 0.500 0.000 0.000
Cd: 0.642 0.156 0.642
Cd: 0.642 0.642 0.156
Cd: 0.705 0.000 0.295
Cd: 0.705 0.295 0.000
Cd: 0.844 0.358 0.358

Computed properties:
The calculation puts the volume at 437.2 Å³/f.u. The calculation puts the total moment at 0.000 Bohr magnetons per cell. For the total energy, the calculation gives -30.79 eV for the cell shown. Its formation energy is -0.193 eV/atom. As for the calculated density: 7.53 Mg/m³. As for the space-group type: R-3m, No. 166. For the density of states at the Fermi level, the calculation gives 8.3 states/eV per cell.

(2)
## Li3PrCd9 (PBE-GGA)

Data for a relaxed structure of Li3PrCd9.

a = 7.622 Å, b = 7.622 Å, c = 7.600 Å
α = 97.27°, β = 97.27°, γ = 138.33°
Fractional positions:
Li: 0.000 0.000 0.000
Li: 0.000 0.500 0.500
Li: 0.500 0.000 0.500
Pr: 0.000 0.000 0.500
Cd: 0.013 0.658 0.158
Cd: 0.279 0.500 0.290
Cd: 0.342 0.987 0.842
Cd: 0.500 0.279 0.290
Cd: 0.500 0.500 0.000
Cd: 0.500 0.721 0.710
Cd: 0.658 0.013 0.158
Cd: 0.721 0.500 0.710
Cd: 0.987 0.342 0.842

Computed properties:
The calculation puts the volume at 274.4 Å³/f.u. The calculation puts the total moment at 0.000 Bohr magnetons per cell. For the total energy, the calculation gives -21.88 eV for the cell shown. Its formation energy is -0.240 eV/atom. As for the calculated density: 7.10 Mg/m³. As for the space-group type: C2/m, No. 12. For the density of states at the Fermi level, the calculation gives 4.2 states/eV per cell.

(3)
## Li2Pr2Cd3 (PBE-GGA)

Data for a relaxed structure of Li2Pr2Cd3.

a = 4.094 Å, b = 24.068 Å, c = 3.494 Å
α = 90.00°, β = 90.00°, γ = 90.00°
Fractional positions:
Li: 0.000 0.218 0.000
Li: 0.000 0.782 0.000
Li: 0.500 0.282 0.000
Li: 0.500 0.718 0.000
Pr: 0.000 0.083 0.000
Pr: 0.000 0.917 0.000
Pr: 0.500 0.417 0.000
Pr: 0.500 0.583 0.000
Cd: 0.000 0.329 0.500
Cd: 0.000 0.500 0.500
Cd: 0.000 0.671 0.500
Cd: 0.500 0.000 0.500
Cd: 0.500 0.171 0.500
Cd: 0.500 0.829 0.500

Computed properties:
The calculation puts the volume at 172.1 Å³/f.u. The calculation puts the total moment at 0.001 Bohr magnetons per cell. For the total energy, the calculation gives -35.31 eV for the cell shown. Its formation energy is -0.218 eV/atom. As for the calculated density: 6.11 Mg/m³. As for the space-group type: Cmmm, No. 65. For the density of states at the Fermi level, the calculation gives 11.3 states/eV per cell.

(4)
## LiPr6Cd2 (PBE-GGA)

Data for a relaxed structure of LiPr6Cd2.

a = 6.605 Å, b = 9.722 Å, c = 9.970 Å
α = 90.00°, β = 116.66°, γ = 90.00°
Fractional positions:
Li: 0.000 0.000 0.000
Li: 0.000 0.500 0.500
Pr: 0.082 0.162 0.475
Pr: 0.082 0.338 0.975
Pr: 0.349 0.700 0.440
Pr: 0.349 0.800 0.940
Pr: 0.418 0.037 0.293
Pr: 0.418 0.463 0.793
Pr: 0.582 0.537 0.207
Pr: 0.582 0.963 0.707
Pr: 0.651 0.200 0.060
Pr: 0.651 0.300 0.560
Pr: 0.918 0.662 0.025
Pr: 0.918 0.838 0.525
Cd: 0.151 0.094 0.796
Cd: 0.151 0.406 0.296
Cd: 0.849 0.594 0.704
Cd: 0.849 0.906 0.204

Computed properties:
The calculation puts the volume at 286.1 Å³/f.u. The calculation puts the total moment at 0.000 Bohr magnetons per cell. For the total energy, the calculation gives -65.51 eV for the cell shown. Its formation energy is -0.037 eV/atom. As for the calculated density: 6.25 Mg/m³. As for the space-group type: P2_1/c, No. 14. For the density of states at the Fermi level, the calculation gives 20.7 states/eV per cell.

(5)
## Li5PrCd2 (PBE-GGA)

Data for a relaxed structure of Li5PrCd2.

a = 3.245 Å, b = 9.361 Å, c = 11.730 Å
α = 90.00°, β = 90.00°, γ = 90.00°
Fractional positions:
Li: 0.000 0.000 0.000
Li: 0.000 0.286 0.360
Li: 0.000 0.286 0.640
Li: 0.000 0.714 0.360
Li: 0.000 0.714 0.640
Li: 0.500 0.214 0.140
Li: 0.500 0.214 0.860
Li: 0.500 0.500 0.500
Li: 0.500 0.786 0.140
Li: 0.500 0.786 0.860
Pr: 0.000 0.500 0.000
Pr: 0.500 0.000 0.500
Cd: 0.000 0.000 0.253
Cd: 0.000 0.000 0.747
Cd: 0.500 0.500 0.247
Cd: 0.500 0.500 0.753

Computed properties:
The calculation puts the volume at 178.2 Å³/f.u. The calculation puts the total moment at 0.000 Bohr magnetons per cell. For the total energy, the calculation gives -34.09 eV for the cell shown. Its formation energy is -0.108 eV/atom. As for the calculated density: 3.73 Mg/m³. As for the space-group type: Immm, No. 71. For the density of states at the Fermi level, the calculation gives 11.8 states/eV per cell.

(6)
## LiPr2Cd8 (PBE-GGA)

Data for a relaxed structure of LiPr2Cd8.

a = 8.210 Å, b = 8.210 Å, c = 7.004 Å
α = 106.85°, β = 106.85°, γ = 35.98°
Fractional positions:
Li: 0.000 0.000 0.000
Pr: 0.287 0.287 0.335
Pr: 0.713 0.713 0.665
Cd: 0.089 0.089 0.421
Cd: 0.148 0.148 0.870
Cd: 0.350 0.350 0.873
Cd: 0.490 0.490 0.275
Cd: 0.510 0.510 0.725
Cd: 0.650 0.650 0.127
Cd: 0.852 0.852 0.130
Cd: 0.911 0.911 0.579

Computed properties:
The calculation puts the volume at 264.2 Å³/f.u. The calculation puts the total moment at 0.000 Bohr magnetons per cell. For the total energy, the calculation gives -21.33 eV for the cell shown. Its formation energy is -0.231 eV/atom. As for the calculated density: 7.47 Mg/m³. As for the space-group type: C2/m, No. 12. For the density of states at the Fermi level, the calculation gives 5.0 states/eV per cell.

(7)
## Li2PrCd4 (PBE-GGA)

Data for a relaxed structure of Li2PrCd4.

a = 5.467 Å, b = 7.547 Å, c = 7.579 Å
α = 90.00°, β = 90.00°, γ = 90.00°
Fractional positions:
Li: 0.250 0.000 0.000
Li: 0.250 0.500 0.500
Li: 0.750 0.000 0.000
Li: 0.750 0.500 0.500
Pr: 0.000 0.000 0.500
Pr: 0.500 0.500 0.000
Cd: 0.000 0.305 0.195
Cd: 0.000 0.305 0.805
Cd: 0.000 0.695 0.195
Cd: 0.000 0.695 0.805
Cd: 0.500 0.195 0.305
Cd: 0.500 0.195 0.695
Cd: 0.500 0.805 0.305
Cd: 0.500 0.805 0.695

Computed properties:
The calculation puts the energy above the most stable polymorph in this dataset at 0.000 eV per atom. The calculation puts the volume at 156.3 Å³/f.u. The calculation puts the total moment at 0.000 Bohr magnetons per cell. For the total energy, the calculation gives -28.67 eV for the cell shown. Its formation energy is -0.295 eV/atom. As for the calculated density: 6.42 Mg/m³. As for the space-group type: Immm, No. 71. For the density of states at the Fermi level, the calculation gives 6.7 states/eV per cell.

(8)
## Li2PrCd (PBE-GGA)

Data for a relaxed structure of Li2PrCd.

a = 3.547 Å, b = 3.547 Å, c = 7.381 Å
α = 90.00°, β = 90.00°, γ = 90.00°
Fractional positions:
Li: 0.000 0.000 0.193
Li: 0.000 0.000 0.807
Pr: 0.500 0.500 0.500
Cd: 0.500 0.500 0.000

Computed properties:
The calculation puts the energy above the most stable polymorph in this dataset at 0.061 eV per atom. The calculation puts the volume at 92.9 Å³/f.u. The calculation puts the total moment at 0.001 Bohr magnetons per cell. For the total energy, the calculation gives -9.78 eV for the cell shown. Its formation energy is -0.064 eV/atom. As for the calculated density: 4.78 Mg/m³. As for the space-group type: P4/mmm, No. 123. For the density of states at the Fermi level, the calculation gives 3.2 states/eV per cell.